--- i ---
Computed, not measured: a relaxed structure of LiTlHgAu at the PBE-GGA level of DFT.

Space-group type = P4mm

a = 3.408 Å, b = 3.408 Å, c = 7.444 Å
α = 90.00°, β = 90.00°, γ = 90.00°
Fractional coordinates of all 4 atoms:
Li (0.000, 0.000, 0.000)
Tl (0.000, 0.000, 0.556)
Hg (0.500, 0.500, 0.233)
Au (0.500, 0.500, 0.829)


--- ii ---
Computed, not measured: a relaxed structure of LiTlHgAu at the PBE-GGA level of DFT.

Space-group type = F-43m

a = 4.918 Å, b = 4.918 Å, c = 4.918 Å
α = 60.00°, β = 60.00°, γ = 60.00°
Fractional coordinates of all 4 atoms:
Li (0.000, 0.000, 0.000)
Tl (0.250, 0.250, 0.250)
Hg (0.750, 0.750, 0.750)
Au (0.500, 0.500, 0.500)


So which one is most stable? That would be i, about 3.9 kJ/mol of atoms below the next structure.


--- i ---
Computed, not measured: a relaxed structure of Mg2Hg2Au at the PBE-GGA level of DFT.

Space-group type = P4/mbm

a = 7.372 Å, b = 7.372 Å, c = 4.057 Å
α = 90.00°, β = 90.00°, γ = 90.00°
Fractional coordinates of all 10 atoms:
Mg (0.156, 0.344, 0.000)
Mg (0.344, 0.844, 0.000)
Mg (0.656, 0.156, 0.000)
Mg (0.844, 0.656, 0.000)
Hg (0.150, 0.650, 0.500)
Hg (0.350, 0.150, 0.500)
Hg (0.650, 0.850, 0.500)
Hg (0.850, 0.350, 0.500)
Au (0.000, 0.000, 0.000)
Au (0.500, 0.500, 0.000)


--- ii ---
Computed, not measured: a relaxed structure of Mg2Hg2Au at the PBE-GGA level of DFT.

Space-group type = I4/mmm

a = 7.162 Å, b = 7.162 Å, c = 7.162 Å
α = 145.89°, β = 145.89°, γ = 49.01°
Fractional coordinates of all 5 atoms:
Mg (0.250, 0.750, 0.500)
Mg (0.750, 0.250, 0.500)
Hg (0.105, 0.105, 0.000)
Hg (0.895, 0.895, 0.000)
Au (0.500, 0.500, 0.000)


--- iii ---
Computed, not measured: a relaxed structure of Mg2Hg2Au at the PBE-GGA level of DFT.

Space-group type = Ibam

a = 7.555 Å, b = 7.555 Å, c = 7.555 Å
α = 129.72°, β = 68.11°, γ = 137.20°
Fractional coordinates of all 10 atoms:
Mg (0.167, 0.191, 0.357)
Mg (0.333, 0.691, 0.024)
Mg (0.667, 0.309, 0.976)
Mg (0.833, 0.809, 0.643)
Hg (0.108, 0.632, 0.740)
Hg (0.392, 0.132, 0.523)
Hg (0.608, 0.868, 0.477)
Hg (0.892, 0.368, 0.260)
Au (0.250, 0.250, 0.000)
Au (0.750, 0.750, 0.000)


So which one is most stable? That would be iii, about 3.2 kJ/mol of atoms below the next structure.


--- i ---
Computed, not measured: a relaxed structure of MgHg2Au2 at the PBE-GGA level of DFT.

Space-group type = P4/mbm

a = 7.223 Å, b = 7.223 Å, c = 4.100 Å
α = 90.00°, β = 90.00°, γ = 90.00°
Fractional coordinates of all 10 atoms:
Mg (0.000, 0.000, 0.000)
Mg (0.500, 0.500, 0.000)
Hg (0.166, 0.334, 0.500)
Hg (0.334, 0.834, 0.500)
Hg (0.666, 0.166, 0.500)
Hg (0.834, 0.666, 0.500)
Au (0.140, 0.640, 0.000)
Au (0.360, 0.140, 0.000)
Au (0.640, 0.860, 0.000)
Au (0.860, 0.360, 0.000)


--- ii ---
Computed, not measured: a relaxed structure of MgHg2Au2 at the PBE-GGA level of DFT.

Space-group type = P4/mbm

a = 7.672 Å, b = 7.672 Å, c = 3.584 Å
α = 90.00°, β = 90.00°, γ = 90.00°
Fractional coordinates of all 10 atoms:
Mg (0.000, 0.000, 0.000)
Mg (0.500, 0.500, 0.000)
Hg (0.137, 0.363, 0.000)
Hg (0.363, 0.863, 0.000)
Hg (0.637, 0.137, 0.000)
Hg (0.863, 0.637, 0.000)
Au (0.167, 0.667, 0.500)
Au (0.333, 0.167, 0.500)
Au (0.667, 0.833, 0.500)
Au (0.833, 0.333, 0.500)


So which one is most stable? That would be i, about 9.4 kJ/mol of atoms below the next structure.


--- i ---
Computed, not measured: a relaxed structure of MgHgAu at the PBE-GGA level of DFT.

Space-group type = I4mm

a = 5.207 Å, b = 5.207 Å, c = 5.207 Å
α = 139.60°, β = 139.60°, γ = 58.47°
Fractional coordinates of all 3 atoms:
Mg (0.000, 0.000, 0.000)
Hg (0.326, 0.326, 0.000)
Au (0.648, 0.648, 0.000)


--- ii ---
Computed, not measured: a relaxed structure of MgHgAu at the PBE-GGA level of DFT.

Space-group type = F-43m

a = 4.632 Å, b = 4.632 Å, c = 4.632 Å
α = 60.00°, β = 60.00°, γ = 60.00°
Fractional coordinates of all 3 atoms:
Mg (0.000, 0.000, 0.000)
Hg (0.500, 0.500, 0.500)
Au (0.750, 0.750, 0.750)


So which one is most stable? That would be i, about 7.2 kJ/mol of atoms below the next structure.


--- i ---
Computed, not measured: a relaxed structure of MgHgAu at the PBE-GGA level of DFT.

Space-group type = Cmme

a = 3.631 Å, b = 3.631 Å, c = 9.068 Å
α = 90.00°, β = 90.00°, γ = 90.41°
Fractional coordinates of all 6 atoms:
Mg (0.250, 0.750, 0.776)
Mg (0.750, 0.250, 0.224)
Hg (0.250, 0.750, 0.408)
Hg (0.750, 0.250, 0.592)
Au (0.250, 0.750, 0.087)
Au (0.750, 0.250, 0.913)


--- ii ---
Computed, not measured: a relaxed structure of MgHgAu at the PBE-GGA level of DFT.

Space-group type = C2/m

a = 4.879 Å, b = 4.879 Å, c = 8.626 Å
α = 90.80°, β = 90.80°, γ = 39.63°
Fractional coordinates of all 6 atoms:
Mg (0.140, 0.140, 0.102)
Mg (0.860, 0.860, 0.898)
Hg (0.133, 0.133, 0.759)
Hg (0.867, 0.867, 0.241)
Au (0.137, 0.137, 0.418)
Au (0.863, 0.863, 0.582)


So which one is most stable? That would be i, about 25.2 kJ/mol of atoms below the next structure.


--- i ---
Computed, not measured: a relaxed structure of MgHgAu at the PBE-GGA level of DFT.

Space-group type = P-6m2

a = 4.791 Å, b = 4.791 Å, c = 3.086 Å
α = 90.00°, β = 90.00°, γ = 120.00°
Fractional coordinates of all 3 atoms:
Mg (0.000, 0.000, 0.000)
Hg (0.333, 0.667, 0.500)
Au (0.667, 0.333, 0.500)


--- ii ---
Computed, not measured: a relaxed structure of MgHgAu at the PBE-GGA level of DFT.

Space-group type = P-3m1

a = 4.524 Å, b = 4.524 Å, c = 7.340 Å
α = 90.00°, β = 90.00°, γ = 120.00°
Fractional coordinates of all 6 atoms:
Mg (0.000, 0.000, 0.209)
Mg (0.000, 0.000, 0.791)
Hg (0.333, 0.667, 0.406)
Hg (0.667, 0.333, 0.594)
Au (0.333, 0.667, 0.932)
Au (0.667, 0.333, 0.068)


So which one is most stable? That would be i, about 1.3 kJ/mol of atoms below the next structure.


--- i ---
Computed, not measured: a relaxed structure of Mg2HgAu2 at the PBE-GGA level of DFT.

Space-group type = I4/mmm

a = 6.719 Å, b = 6.719 Å, c = 6.719 Å
α = 142.82°, β = 142.82°, γ = 53.59°
Fractional coordinates of all 5 atoms:
Mg (0.250, 0.750, 0.500)
Mg (0.750, 0.250, 0.500)
Hg (0.000, 0.000, 0.000)
Au (0.386, 0.386, 0.000)
Au (0.614, 0.614, 0.000)


--- ii ---
Computed, not measured: a relaxed structure of Mg2HgAu2 at the PBE-GGA level of DFT.

Space-group type = P4/mbm

a = 7.867 Å, b = 7.867 Å, c = 3.236 Å
α = 90.00°, β = 90.00°, γ = 90.00°
Fractional coordinates of all 10 atoms:
Mg (0.155, 0.345, 0.000)
Mg (0.345, 0.845, 0.000)
Mg (0.655, 0.155, 0.000)
Mg (0.845, 0.655, 0.000)
Hg (0.000, 0.000, 0.000)
Hg (0.500, 0.500, 0.000)
Au (0.139, 0.639, 0.500)
Au (0.361, 0.139, 0.500)
Au (0.639, 0.861, 0.500)
Au (0.861, 0.361, 0.500)


--- iii ---
Computed, not measured: a relaxed structure of Mg2HgAu2 at the PBE-GGA level of DFT.

Space-group type = I4/mmm

a = 7.675 Å, b = 7.675 Å, c = 7.675 Å
α = 150.71°, β = 150.71°, γ = 41.90°
Fractional coordinates of all 5 atoms:
Mg (0.107, 0.107, 0.000)
Mg (0.893, 0.893, 0.000)
Hg (0.500, 0.500, 0.000)
Au (0.250, 0.750, 0.500)
Au (0.750, 0.250, 0.500)


--- iv ---
Computed, not measured: a relaxed structure of Mg2HgAu2 at the PBE-GGA level of DFT.

Space-group type = P4/mbm

a = 7.662 Å, b = 7.662 Å, c = 3.367 Å
α = 90.00°, β = 90.00°, γ = 90.00°
Fractional coordinates of all 10 atoms:
Mg (0.160, 0.340, 0.000)
Mg (0.340, 0.840, 0.000)
Mg (0.660, 0.160, 0.000)
Mg (0.840, 0.660, 0.000)
Hg (0.000, 0.000, 0.500)
Hg (0.500, 0.500, 0.500)
Au (0.136, 0.636, 0.500)
Au (0.364, 0.136, 0.500)
Au (0.636, 0.864, 0.500)
Au (0.864, 0.364, 0.500)


So which one is most stable? That would be iv, about 7.8 kJ/mol of atoms below the next structure.


--- i ---
Computed, not measured: a relaxed structure of Mg2HgAu3 at the PBE-GGA level of DFT.

Space-group type = Imma

a = 7.065 Å, b = 7.065 Å, c = 7.065 Å
α = 113.67°, β = 101.53°, γ = 113.49°
Fractional coordinates of all 12 atoms:
Mg (0.232, 0.198, 0.034)
Mg (0.336, 0.802, 0.534)
Mg (0.664, 0.198, 0.466)
Mg (0.768, 0.802, 0.966)
Hg (0.119, 0.369, 0.750)
Hg (0.881, 0.631, 0.250)
Au (0.000, 0.291, 0.291)
Au (0.000, 0.709, 0.709)
Au (0.500, 0.000, 0.000)
Au (0.500, 0.291, 0.791)
Au (0.500, 0.500, 0.500)
Au (0.500, 0.709, 0.209)


--- ii ---
Computed, not measured: a relaxed structure of Mg2HgAu3 at the PBE-GGA level of DFT.

Space-group type = P4/mmm

a = 3.411 Å, b = 3.411 Å, c = 9.691 Å
α = 90.00°, β = 90.00°, γ = 90.00°
Fractional coordinates of all 6 atoms:
Mg (0.000, 0.000, 0.163)
Mg (0.000, 0.000, 0.837)
Hg (0.000, 0.000, 0.500)
Au (0.500, 0.500, 0.000)
Au (0.500, 0.500, 0.311)
Au (0.500, 0.500, 0.689)


So which one is most stable? That would be ii, about 13.9 kJ/mol of atoms below the next structure.


--- i ---
Computed, not measured: a relaxed structure of Mg3HgAu at the PBE-GGA level of DFT.

Space-group type = C2/m

a = 5.502 Å, b = 5.502 Å, c = 9.880 Å
α = 99.31°, β = 99.31°, γ = 45.79°
Fractional coordinates of all 10 atoms:
Mg (0.043, 0.043, 0.358)
Mg (0.271, 0.271, 0.753)
Mg (0.392, 0.392, 0.094)
Mg (0.608, 0.608, 0.906)
Mg (0.729, 0.729, 0.247)
Mg (0.957, 0.957, 0.642)
Hg (0.350, 0.350, 0.430)
Hg (0.650, 0.650, 0.570)
Au (0.113, 0.113, 0.105)
Au (0.887, 0.887, 0.895)


--- ii ---
Computed, not measured: a relaxed structure of Mg3HgAu at the PBE-GGA level of DFT.

Space-group type = Cmce

a = 8.082 Å, b = 8.082 Å, c = 6.928 Å
α = 90.00°, β = 90.00°, γ = 78.83°
Fractional coordinates of all 20 atoms:
Mg (0.023, 0.677, 0.398)
Mg (0.061, 0.939, 0.776)
Mg (0.177, 0.523, 0.898)
Mg (0.323, 0.977, 0.398)
Mg (0.439, 0.561, 0.276)
Mg (0.477, 0.823, 0.898)
Mg (0.523, 0.177, 0.102)
Mg (0.561, 0.439, 0.724)
Mg (0.677, 0.023, 0.602)
Mg (0.823, 0.477, 0.102)
Mg (0.939, 0.061, 0.224)
Mg (0.977, 0.323, 0.602)
Hg (0.180, 0.320, 0.250)
Hg (0.320, 0.180, 0.750)
Hg (0.680, 0.820, 0.250)
Hg (0.820, 0.680, 0.750)
Au (0.194, 0.806, 0.114)
Au (0.306, 0.694, 0.614)
Au (0.694, 0.306, 0.386)
Au (0.806, 0.194, 0.886)


So which one is most stable? That would be i, about 0.6 kJ/mol of atoms below the next structure.


--- i ---
Computed, not measured: a relaxed structure of MgHg3Au at the PBE-GGA level of DFT.

Space-group type = Pm-3m

a = 5.438 Å, b = 5.438 Å, c = 5.438 Å
α = 90.00°, β = 90.00°, γ = 90.00°
Fractional coordinates of all 5 atoms:
Mg (0.000, 0.000, 0.000)
Hg (0.000, 0.500, 0.500)
Hg (0.500, 0.000, 0.500)
Hg (0.500, 0.500, 0.000)
Au (0.500, 0.500, 0.500)


--- ii ---
Computed, not measured: a relaxed structure of MgHg3Au at the PBE-GGA level of DFT.

Space-group type = Pm-3m

a = 5.404 Å, b = 5.404 Å, c = 5.404 Å
α = 90.00°, β = 90.00°, γ = 90.00°
Fractional coordinates of all 5 atoms:
Mg (0.000, 0.000, 0.000)
Hg (0.000, 0.000, 0.500)
Hg (0.000, 0.500, 0.000)
Hg (0.500, 0.000, 0.000)
Au (0.500, 0.500, 0.500)


So which one is most stable? That would be i, about 14.2 kJ/mol of atoms below the next structure.


--- i ---
Computed, not measured: a relaxed structure of PuMgHgAu at the PBE-GGA level of DFT.

Space-group type = P4mm

a = 3.342 Å, b = 3.342 Å, c = 7.864 Å
α = 90.00°, β = 90.00°, γ = 90.00°
Fractional coordinates of all 4 atoms:
Pu (0.000, 0.000, 0.000)
Mg (0.000, 0.000, 0.534)
Hg (0.500, 0.500, 0.293)
Au (0.500, 0.500, 0.733)


--- ii ---
Computed, not measured: a relaxed structure of PuMgHgAu at the PBE-GGA level of DFT.

Space-group type = F-43m

a = 5.066 Å, b = 5.066 Å, c = 5.066 Å
α = 60.00°, β = 60.00°, γ = 60.00°
Fractional coordinates of all 4 atoms:
Pu (0.000, 0.000, 0.000)
Mg (0.500, 0.500, 0.500)
Hg (0.750, 0.750, 0.750)
Au (0.250, 0.250, 0.250)


So which one is most stable? That would be i, about 4.1 kJ/mol of atoms below the next structure.